# 1
Density functional theory data (PBE) for Rb2TcBSe after structural relaxation.

The total magnetic moment comes out at 0.277 μB/atom. The density of states at the Fermi level comes out at 0.8688 states/eV per atom. The calculation puts the total DFT energy (no corrections) at -3.320 eV/atom. As for the energy relative to the elements, uncorrected: 1.172 eV/atom.

The space group is P4/mmm (No. 123) and the conventional cell measures 6.600, 6.600 and 4.671 Å, with angles of 90.00, 90.00 and 90.00 degrees. Symmetry generates all atoms from Rb at (0.000, 0.500, 0.000), Tc at (0.000, 0.000, 0.500), B at (0.500, 0.500, 0.500) and Se at (0.000, 0.000, 0.000).

# 2
Density functional theory data (PBE) for Rb2TiBSe4 after structural relaxation.

The total magnetic moment comes out at 0.127 μB/atom. The density of states at the Fermi level comes out at 0.1298 states/eV per atom. The calculation puts the total DFT energy (no corrections) at -4.647 eV/atom. As for the energy relative to the elements, uncorrected: -0.842 eV/atom.

The space group is Fddd (No. 70, origin choice 2) and the conventional cell measures 5.995, 13.869 and 24.818 Å, with angles of 90.00, 90.00 and 90.00 degrees. Symmetry generates all atoms from Rb at (0.125, 0.125, 0.303), Ti at (0.125, 0.125, 0.125), B at (0.125, 0.125, 0.625) and Se at (0.082, 0.288, 0.827).

# 3
Density functional theory data (PBE) for Rb2TlBSe4 after structural relaxation.

The total magnetic moment comes out at 0.000 μB/atom. The calculation puts the total DFT energy (no corrections) at -3.657 eV/atom. As for the energy relative to the elements, uncorrected: -0.543 eV/atom.

The space group is Fddd (No. 70, origin choice 2) and the conventional cell measures 6.452, 13.998 and 24.692 Å, with angles of 90.00, 90.00 and 90.00 degrees. Symmetry generates all atoms from Rb at (0.125, 0.125, 0.308), Tl at (0.125, 0.125, 0.125), B at (0.125, 0.125, 0.625) and Se at (0.062, 0.287, 0.825).

What is the formula in the first record? Rb2TcBSe

Which of these has the lowest total magnetic moment? Rb2TlBSe4

Which value of energy relative to the elements, uncorrected does entry 3 give? -0.543 eV/atom

Which value of energy relative to the elements, uncorrected does entry 3 give? -0.543 eV/atom